Record 1
KRb2SiF7: PBEsol geometry, SCAN.

## Properties
- ΔE_f (raw): -36.0 eV per formula unit
- Symmetry: No. 65
- D(E_F): 0.0 states/eV/cell
- V: 15.729 A^3/atom

Geometry as POSCAR:
```
KRb2SiF7
1.0
5.4741 -5.5701 0.0000
5.4741 5.5701 0.0000
0.0000 0.0000 5.6745
K Rb Si F
2 4 2 14
Cartesian
2.1223 0.0000 0.0000
8.8258 0.0000 0.0000
2.7370 2.7850 2.8373
5.4741 2.1535 0.0000
2.7370 -2.7850 2.8373
5.4741 -2.1535 0.0000
0.0000 0.0000 2.8373
5.4741 0.0000 2.8373
2.7370 2.7850 0.0000
5.4741 4.3753 1.6159
5.4741 4.3753 4.0586
1.7021 0.0000 2.8373
5.4741 1.7042 2.8373
4.2726 0.0000 1.6201
4.2726 0.0000 4.0544
2.7370 -2.7850 0.0000
6.6755 0.0000 1.6201
6.6755 0.0000 4.0544
5.4741 -1.7042 2.8373
9.2461 0.0000 2.8373
5.4741 -4.3753 1.6159
5.4741 -4.3753 4.0586
```

=====

Record 2
KRb2YF6: PBEsol geometry, SCAN.

## Properties
- ΔE_f (raw): -34.5 eV per formula unit
- Symmetry: No. 14
- D(E_F): 0.0 states/eV/cell
- V: 21.378 A^3/atom

Geometry as POSCAR:
```
KRb2YF6
1.0
6.5625 0.0000 0.0000
0.0000 7.1982 0.0000
-2.1122 0.0000 9.0514
K Rb Y F
2 4 2 12
Cartesian
0.0000 0.0000 0.0000
-1.0561 3.5991 4.5257
2.2414 0.0259 2.5175
1.1853 3.5732 7.0432
3.2650 3.6250 2.0082
2.2089 7.1722 6.5339
-1.0561 0.0000 4.5257
0.0000 3.5991 0.0000
-0.4030 0.0011 2.4917
-1.4591 3.5979 7.0174
1.5212 5.1024 0.4957
0.4651 5.6948 5.0214
0.4764 1.4919 5.0229
1.5325 2.1072 0.4972
2.9178 5.0910 8.5542
3.9739 5.7063 4.0285
3.9851 1.5034 4.0300
2.9291 2.0957 8.5557
4.8533 7.1970 6.5598
5.9094 3.6002 2.0341
```

=====

Record 3
KRhF2: PBEsol geometry, SCAN.

## Properties
- ΔE_f (raw): -6.4 eV per formula unit
- Symmetry: No. 166
- D(E_F): 10.1 states/eV/cell
- V: 14.450 A^3/atom

Geometry as POSCAR:
```
KRhF2
1.0
2.9973 0.0000 0.0000
-1.4986 2.5957 0.0000
0.0000 0.0000 22.2874
K Rh F
3 3 6
Cartesian
0.0000 0.0000 0.0000
0.0000 1.7305 14.8583
1.4986 0.8652 7.4291
0.0000 0.0000 11.1437
0.0000 1.7305 3.7146
1.4986 0.8652 18.5728
0.0000 0.0000 9.1694
0.0000 0.0000 13.1180
0.0000 1.7305 1.7403
0.0000 1.7305 5.6888
1.4986 0.8652 16.5986
1.4986 0.8652 20.5471
```

=====

Record 4
K2RhF6: PBEsol geometry, SCAN.

## Properties
- ΔE_f (raw): -21.8 eV per formula unit
- Symmetry: No. 164
- D(E_F): 0.3 states/eV/cell
- V: 14.402 A^3/atom

Geometry as POSCAR:
```
K2RhF6
1.0
5.6965 0.0000 0.0000
-2.8482 4.9333 0.0000
0.0000 0.0000 4.6123
K Rh F
2 1 6
Cartesian
0.0000 3.2889 0.9898
2.8483 1.6444 3.6225
0.0000 0.0000 2.3062
0.0000 1.6034 3.3595
-1.4596 4.1316 3.3595
1.3886 0.8017 1.2528
1.4596 4.1316 3.3595
4.3079 0.8017 1.2528
2.8482 3.3299 1.2528
```

=====

Record 5
K2SbRhF: PBEsol geometry, SCAN.

## Properties
- ΔE_f (raw): -2.7 eV per formula unit
- Symmetry: No. 123
- D(E_F): 3.8 states/eV/cell
- V: 35.116 A^3/atom

Geometry as POSCAR:
```
K2SbRhF
1.0
6.0287 0.0000 0.0000
0.0000 6.0287 0.0000
0.0000 0.0000 4.8309
K Sb Rh F
2 1 1 1
Cartesian
0.0000 3.0143 0.0000
3.0143 0.0000 0.0000
0.0000 0.0000 2.4154
0.0000 0.0000 0.0000
3.0143 3.0143 2.4154
```

=====

Record 6
KRuF6: PBEsol geometry, SCAN.

## Properties
- ΔE_f (raw): -18.5 eV per formula unit
- Symmetry: No. 166
- D(E_F): 0.0 states/eV/cell
- V: 14.953 A^3/atom

Geometry as POSCAR:
```
KRuF6
1.0
3.7588 2.1702 2.4441
-3.7588 2.1702 2.4441
0.0000 -4.3403 2.4441
K Ru F
1 1 6
Cartesian
0.0000 0.0000 0.0000
0.0000 0.0000 3.6661
0.0000 -1.5091 2.5601
-1.3069 0.7545 2.5601
-1.3069 -0.7545 4.7722
1.3069 0.7545 2.5601
1.3069 -0.7545 4.7722
0.0000 1.5091 4.7722
```

=====

Record 7
KRu3F: PBEsol geometry, SCAN.

## Properties
- ΔE_f (raw): 14.7 eV per formula unit
- Symmetry: No. 221
- D(E_F): 4.6 states/eV/cell
- V: 20.061 A^3/atom

Geometry as POSCAR:
```
KRu3F
1.0
4.6463 0.0000 0.0000
0.0000 4.6463 0.0000
0.0000 0.0000 4.6463
K Ru F
1 3 1
Cartesian
0.0000 0.0000 0.0000
0.0000 0.0000 2.3231
0.0000 2.3231 0.0000
2.3231 0.0000 0.0000
2.3231 2.3231 2.3231
```

=====

Record 8
KRu3F: PBEsol geometry, SCAN.

## Properties
- ΔE_f (raw): 6.6 eV per formula unit
- Symmetry: No. 221
- D(E_F): 4.3 states/eV/cell
- V: 17.445 A^3/atom

Geometry as POSCAR:
```
KRu3F
1.0
4.4349 0.0000 0.0000
0.0000 4.4349 0.0000
0.0000 0.0000 4.4349
K Ru F
1 3 1
Cartesian
0.0000 0.0000 0.0000
0.0000 2.2175 2.2175
2.2175 0.0000 2.2175
2.2175 2.2175 0.0000
2.2175 2.2175 2.2175
```

=====

Record 9
KSnRuF2: PBEsol geometry, SCAN.

## Properties
- ΔE_f (raw): -0.7 eV per formula unit
- Symmetry: No. 123
- D(E_F): 5.8 states/eV/cell
- V: 30.160 A^3/atom

Geometry as POSCAR:
```
KSnRuF2
1.0
4.4722 0.0000 0.0000
0.0000 4.4722 0.0000
0.0000 0.0000 7.5399
K Sn Ru F
1 1 1 2
Cartesian
0.0000 0.0000 0.0000
0.0000 0.0000 3.7699
2.2361 2.2361 0.0000
0.0000 2.2361 3.7699
2.2361 0.0000 3.7699
```

=====

Record 10
K2TlRuF6: PBEsol geometry, SCAN.

## Properties
- ΔE_f (raw): -22.5 eV per formula unit
- Symmetry: No. 225
- D(E_F): 11.4 states/eV/cell
- V: 18.467 A^3/atom

Geometry as POSCAR:
```
K2TlRuF6
1.0
0.0000 4.5198 4.5198
4.5198 0.0000 4.5198
4.5198 4.5198 0.0000
K Tl Ru F
2 1 1 6
Cartesian
2.2599 2.2599 2.2599
6.7797 6.7797 6.7797
0.0000 0.0000 0.0000
4.5198 4.5198 4.5198
4.5198 4.5198 2.5300
4.5198 2.5300 4.5198
6.5096 4.5198 4.5198
2.5300 4.5198 4.5198
4.5198 6.5096 4.5198
4.5198 4.5198 6.5096
```

=====

Record 11
KY2RuF: PBEsol geometry, SCAN.

## Properties
- ΔE_f (raw): 6.5 eV per formula unit
- Symmetry: No. 123
- D(E_F): 5.5 states/eV/cell
- V: 25.465 A^3/atom

Geometry as POSCAR:
```
KY2RuF
1.0
5.4318 0.0000 0.0000
0.0000 5.4318 0.0000
0.0000 0.0000 4.3154
K Y Ru F
1 2 1 1
Cartesian
0.0000 0.0000 0.0000
0.0000 2.7159 0.0000
2.7159 0.0000 0.0000
0.0000 0.0000 2.1577
2.7159 2.7159 2.1577
```

=====

Record 12
K3SbF: PBEsol geometry, SCAN.

## Properties
- ΔE_f (raw): -7.0 eV per formula unit
- Symmetry: No. 221
- D(E_F): 1.9 states/eV/cell
- V: 29.606 A^3/atom

Geometry as POSCAR:
```
K3SbF
1.0
5.2899 0.0000 0.0000
0.0000 5.2899 0.0000
0.0000 0.0000 5.2899
K Sb F
3 1 1
Cartesian
0.0000 0.0000 2.6450
0.0000 2.6450 0.0000
2.6450 0.0000 0.0000
2.6450 2.6450 2.6450
0.0000 0.0000 0.0000
```

=====

Record 13
KSb2TeF: PBEsol geometry, SCAN.

## Properties
- ΔE_f (raw): 5.4 eV per formula unit
- Symmetry: No. 123
- D(E_F): 7.2 states/eV/cell
- V: 37.769 A^3/atom

Geometry as POSCAR:
```
KSb2TeF
1.0
5.7530 0.0000 0.0000
0.0000 5.7530 0.0000
0.0000 0.0000 5.7057
K Sb Te F
1 2 1 1
Cartesian
0.0000 0.0000 0.0000
0.0000 2.8765 0.0000
2.8765 0.0000 0.0000
0.0000 0.0000 2.8529
2.8765 2.8765 2.8529
```

=====

Record 14
KSeF2: PBEsol geometry, SCAN.

## Properties
- ΔE_f (raw): -5.1 eV per formula unit
- Symmetry: No. 225
- V: 16.849 A^3/atom

Geometry as POSCAR:
```
KSeF2
1.0
6.4600 0.0000 0.0000
0.0000 6.4600 0.0000
0.0000 0.0000 6.4600
K Se F
4 4 8
Cartesian
0.0000 0.0000 0.0000
0.0000 3.2300 3.2300
3.2300 0.0000 3.2300
3.2300 3.2300 0.0000
0.0000 0.0000 3.2300
0.0000 3.2300 0.0000
3.2300 0.0000 0.0000
3.2300 3.2300 3.2300
1.6150 1.6150 1.6150
1.6150 1.6150 4.8450
1.6150 4.8450 1.6150
1.6150 4.8450 4.8450
4.8450 1.6150 1.6150
4.8450 1.6150 4.8450
4.8450 4.8450 1.6150
4.8450 4.8450 4.8450
```

=====

Record 15
K2Se2F: PBEsol geometry, SCAN.

## Properties
- ΔE_f (raw): -6.0 eV per formula unit
- Symmetry: No. 139
- D(E_F): 6.3 states/eV/cell
- V: 29.419 A^3/atom

Geometry as POSCAR:
```
K2Se2F
1.0
6.1687 0.0000 0.0000
0.0000 6.1687 0.0000
0.0000 0.0000 7.7311
K Se F
4 4 2
Cartesian
0.0000 3.0844 1.9328
0.0000 3.0844 5.7983
3.0844 0.0000 1.9328
3.0844 0.0000 5.7983
0.0000 0.0000 1.1688
0.0000 0.0000 6.5623
3.0844 3.0844 2.6968
3.0844 3.0844 5.0343
0.0000 0.0000 3.8655
3.0844 3.0844 0.0000
```

=====

Record 16
KSi2F: PBEsol geometry, SCAN.

## Properties
- ΔE_f (raw): -3.2 eV per formula unit
- Symmetry: No. 122
- D(E_F): 4.2 states/eV/cell
- V: 21.934 A^3/atom

Geometry as POSCAR:
```
KSi2F
1.0
3.4544 0.0000 0.0000
0.0000 3.4544 0.0000
0.0000 0.0000 29.4096
K Si F
4 8 4
Cartesian
0.0000 0.0000 0.0000
0.0000 1.7272 7.3524
1.7272 0.0000 22.0572
1.7272 1.7272 14.7048
0.8511 2.5908 3.6762
0.8636 0.8511 25.7334
0.8636 0.8761 11.0286
0.8761 2.5908 18.3810
2.5783 0.8636 18.3810
2.5908 2.5783 11.0286
2.5908 2.6033 25.7334
2.6033 0.8636 3.6762
0.0000 0.0000 14.7048
0.0000 1.7272 22.0572
1.7272 0.0000 7.3524
1.7272 1.7272 0.0000
```

=====

Record 17
KSiF3: PBEsol geometry, SCAN.

## Properties
- ΔE_f (raw): -4.9 eV per formula unit
- Symmetry: No. 221
- V: 18.704 A^3/atom

Geometry as POSCAR:
```
KSiF3
1.0
4.5391 0.0000 0.0000
0.0000 4.5391 0.0000
0.0000 0.0000 4.5391
K Si F
1 1 3
Cartesian
0.0000 0.0000 0.0000
2.2696 2.2696 2.2696
0.0000 0.0000 2.2696
0.0000 2.2696 0.0000
2.2696 0.0000 0.0000
```

=====

Record 18
KSiF2: PBEsol geometry, SCAN.

## Properties
- ΔE_f (raw): -7.7 eV per formula unit
- Symmetry: No. 166
- D(E_F): 1.2 states/eV/cell
- V: 16.327 A^3/atom

Geometry as POSCAR:
```
KSiF2
1.0
3.2531 0.0000 0.0000
-1.6265 2.8173 0.0000
0.0000 0.0000 21.3775
K Si F
3 3 6
Cartesian
0.0000 0.0000 0.0000
0.0000 1.8782 14.2517
1.6265 0.9391 7.1258
0.0000 0.0000 10.6887
0.0000 1.8782 3.5629
1.6265 0.9391 17.8146
0.0000 0.0000 8.7861
0.0000 0.0000 12.5914
0.0000 1.8782 1.6602
0.0000 1.8782 5.4656
1.6265 0.9391 15.9119
1.6265 0.9391 19.7173
```

=====

Record 19
K2SmF5: PBEsol geometry, SCAN.

## Properties
- ΔE_f (raw): -29.7 eV per formula unit
- Symmetry: No. 62
- D(E_F): 0.0 states/eV/cell
- V: 16.290 A^3/atom

Geometry as POSCAR:
```
K2SmF5
1.0
10.7285 0.0000 0.0000
0.0000 7.3719 0.0000
0.0000 0.0000 6.5910
K Sm F
8 4 20
Cartesian
1.8450 0.0222 0.2073
1.8450 3.6638 0.2073
3.5192 3.7081 3.5028
3.5192 7.3498 3.5028
7.2092 0.0222 3.0882
7.2092 3.6638 3.0882
8.8834 3.7081 6.3837
8.8834 7.3498 6.3837
0.0568 1.8430 3.7121
5.3074 5.5289 0.4166
5.4210 1.8430 6.1744
10.6717 5.5289 2.8789
0.1177 1.8430 5.9540
0.8675 3.9367 4.2700
0.8675 7.1211 4.2700
1.8355 1.8430 2.3824
2.1174 5.5289 2.1762
3.2468 1.8430 5.4717
3.5287 5.5289 5.6779
4.4968 0.2508 0.9745
4.4968 3.4352 0.9745
5.2465 5.5289 2.6585
5.4820 1.8430 3.9325
6.2317 3.9367 5.6165
6.2317 7.1211 5.6165
7.1998 1.8430 0.9131
7.4816 5.5289 1.1193
8.6110 1.8430 4.4148
8.8929 5.5289 4.2086
9.8610 0.2508 2.3210
9.8610 3.4352 2.3210
10.6107 5.5289 0.6370
```

=====

Record 20
K3SnF: PBEsol geometry, SCAN.

## Properties
- ΔE_f (raw): -5.9 eV per formula unit
- Symmetry: No. 221
- D(E_F): 3.4 states/eV/cell
- V: 30.708 A^3/atom

Geometry as POSCAR:
```
K3SnF
1.0
5.3547 0.0000 0.0000
0.0000 5.3547 0.0000
0.0000 0.0000 5.3547
K Sn F
3 1 1
Cartesian
0.0000 0.0000 2.6774
0.0000 2.6774 0.0000
2.6774 0.0000 0.0000
2.6774 2.6774 2.6774
0.0000 0.0000 0.0000
```

=====

The calculation returns the following total magnetic moment values, one per record and in order: 0.06, 0.18, 0.37, 1.00, 0.00, 3.00, 6.94, 7.29, 3.00, 1.00, 0.00, 1.00, 0.35, 3.00, 1.01, 0.00, 0.00, 0.00, 0.16, 1.92 μB per formula unit.